Below is a geometry-optimized Nd2FeGeO6 structure, with properties calculated at the PBE+U level.

- E_tot (eV per atom) = -7.2694
- spin magnetization (μB per formula unit) = 4.0

```
data_Nd2FeGeO6
_chemical_formula_sum 'Nd2 Fe1 Ge1 O6'
_cell_length_a 5.316
_cell_length_b 5.316
_cell_length_c 4.713
_cell_angle_alpha 90.00
_cell_angle_beta 90.00
_cell_angle_gamma 90.00
_space_group_name_H-M_alt 'P 4 m m'
_space_group_IT_number 99
loop_
_space_group_symop_operation_xyz
'x,y,z'
'-y,x,z'
'-x,-y,z'
'y,-x,z'
'-x,y,z'
'y,x,z'
'x,-y,z'
'-y,-x,z'
loop_
_atom_site_label
_atom_site_type_symbol
_atom_site_fract_x
_atom_site_fract_y
_atom_site_fract_z
Nd1 Nd 0.000 0.500 0.000
Fe1 Fe 0.000 0.000 0.557
Ge1 Ge 0.500 0.500 0.567
O1 O 0.000 0.000 0.126
O2 O 0.262 0.262 0.685
O3 O 0.500 0.500 0.184
```